(1)
The following is a DFT calculation (PBE) of K2AcMg3F12 after structural relaxation.

**Total energy**: -5.168 eV/atom
**Crystal system**: trigonal
**Total magnetic moment**: 3.5 μB per cell

Cell lengths 7.5253, 7.5253, 16.6913 Å; angles 90.00, 90.00, 120.00 degrees
Space group R-3m (No. 166, hexagonal axes)
Inequivalent atoms, fractional coordinates:
K1 0.0000 0.0000 0.1079 [6 per cell]
Ac1 0.0000 0.0000 0.5000 [3 per cell]
Mg1 0.0000 0.5000 0.0000 [9 per cell]
F1 0.0401 0.5200 0.8805 [18 per cell]
F2 0.0865 0.5432 0.3072 [18 per cell]

(2)
The following is a DFT calculation (PBE) of CsErPb2 after structural relaxation.

**Total energy**: -3.502 eV/atom
**ΔE to the lowest computed polymorph**: 0.0 meV/atom
**Crystal system**: tetragonal
**ΔE_f**: -1.2 eV per formula unit
**Total magnetic moment**: 0.0 μB per cell

Cell lengths 4.1268, 4.1268, 8.6767 Å; angles 90.00, 90.00, 90.00 degrees
Space group P4/mmm (No. 123)
Inequivalent atoms, fractional coordinates:
Cs1 0.0000 0.0000 0.0000 [1 per cell]
Er1 0.0000 0.0000 0.5000 [1 per cell]
Pb1 0.5000 0.5000 0.3202 [2 per cell]

(3)
The following is a DFT calculation (PBE) of PrSm4Ag after structural relaxation.

**Total energy**: -4.368 eV/atom
**ΔE to the lowest computed polymorph**: 118.8 meV/atom
**Crystal system**: orthorhombic
**ΔE_f**: 0.3 eV per formula unit
**Total magnetic moment**: 0.0 μB per cell

Cell lengths 5.5728, 21.2372, 6.5814 Å; angles 90.00, 90.00, 90.00 degrees
Space group Cmc2_1 (No. 36)
Inequivalent atoms, fractional coordinates:
Pr1 0.0000 0.1332 0.0000 [4 per cell]
Sm1 0.0000 0.0654 0.5026 [4 per cell]
Sm2 0.0000 0.2544 0.6176 [4 per cell]
Sm3 0.0000 0.3237 0.1414 [4 per cell]
Sm4 0.0000 0.4665 0.3381 [4 per cell]
Ag1 0.0000 0.3953 0.7446 [4 per cell]

(4)
The following is a DFT calculation (PBE) of YTa2 after structural relaxation.

**Total energy**: -9.440 eV/atom
**ΔE to the lowest computed polymorph**: 370.7 meV/atom
**Crystal system**: hexagonal
**ΔE_f**: 1.8 eV per formula unit
**Total magnetic moment**: 0.0 μB per cell

Cell lengths 4.9871, 4.9871, 5.9319 Å; angles 90.00, 90.00, 120.00 degrees
Space group P6_3/mmc (No. 194)
Inequivalent atoms, fractional coordinates:
Y1 0.3333 0.6667 0.2500 [2 per cell]
Ta1 0.0000 0.0000 0.0000 [2 per cell]
Ta2 0.3333 0.6667 0.7500 [2 per cell]